Material: Mn2CuRh
Method: DFT, meta-GGA SCAN
State: PBEsol geometry

abc: 2.6404 3.5303 5.2118
angles: 90.00 90.00 90.00
Last column: nearest neighbours and their distance in Å.
Space group Pmm2 (No. 25)
Symmetry-distinct sites (fractional):
Mn 0.0000 0.0000 0.0000 x1  4 Cu 2.54, 6 Mn 2.54-2.64, 2 Rh 2.60-2.61
Mn 0.5000 0.5000 0.2436 x1  2 Cu 2.54-2.67, 6 Mn 2.54-2.64, 4 Rh 2.58
Cu 0.5000 0.5000 0.7566 x1  6 Mn 2.54-2.67, 4 Rh 2.57, 2 Cu 2.64
Rh 0.0000 0.0000 0.5016 x1  4 Cu 2.57, 6 Mn 2.58-2.61, 2 Rh 2.64

Summary:
Energy of formation from the pure elements   -268 meV per atom

***

Material: Na2Sm2Ti3O10
Method: DFT, meta-GGA SCAN
State: PBEsol geometry

abc: 3.7951 3.7951 28.3329
angles: 90.00 90.00 90.00
Last column: nearest neighbours and their distance in Å.
Space group I4/mmm (No. 139)
Symmetry-distinct sites (fractional):
Na 0.0000 0.0000 0.2120 x4  1 O 2.28
Sm 0.0000 0.0000 0.0749 x4  8 O 2.46-2.69
Ti 0.0000 0.0000 0.3544 x4  5 O 1.76-1.95
Ti 0.0000 0.0000 0.5000 x2  6 O 1.90-1.91
O 0.0000 0.0000 0.2925 x4  1 Ti 1.76
O 0.0000 0.0000 0.4326 x4  1 Ti 1.91
O 0.0000 0.5000 0.0000 x4  2 Ti 1.90
O 0.0000 0.5000 0.1301 x8  2 Ti 1.95

Summary:
E_form (uncorrected)   -5334.7 kJ/mol of formula units

***

Material: ScAlHg4
Method: DFT, meta-GGA SCAN
State: PBEsol geometry

abc: 8.1147 8.1147 8.1147
angles: 90.00 90.00 90.00
Last column: nearest neighbours and their distance in Å.
Space group F-43m (No. 216)
Symmetry-distinct sites (fractional):
Sc 0.0000 0.0000 0.0000 x4  12 Hg 3.36, 4 Al 3.51
Al 0.2500 0.2500 0.7500 x4  12 Hg 3.36, 4 Sc 3.51
Hg 0.1252 0.1252 0.3748 x16  6 Hg 2.86-2.87

Summary:
Energy of formation from the pure elements   185 meV per atom

***

Material: Rb2CdHgAu
Method: DFT, meta-GGA SCAN
State: PBEsol geometry

abc: 6.3404 6.3404 5.2844
angles: 90.00 90.00 90.00
Last column: nearest neighbours and their distance in Å.
Space group P4/mmm (No. 123)
Symmetry-distinct sites (fractional):
Rb 0.0000 0.5000 0.0000 x2  2 Au 3.17
Cd 0.0000 0.0000 0.5000 x1  2 Au 2.64
Hg 0.5000 0.5000 0.5000 x1  8 Rb 4.13, 4 Cd 4.48
Au 0.0000 0.0000 0.0000 x1  2 Cd 2.64

Summary:
Energy of formation from the pure elements   -173 meV per atom

***

Material: CaTiNiP3O12
Method: DFT, meta-GGA SCAN
State: PBEsol geometry

abc: 8.4763 8.4763 21.5761
angles: 90.00 90.00 120.00
Last column: nearest neighbours and their distance in Å.
Space group R3c (No. 161, hexagonal axes)
Symmetry-distinct sites (fractional):
Ca 0.0000 0.0000 0.0000 x6  6 O 2.31-2.41
Ti 0.0000 0.0000 0.1472 x6  6 O 1.87-2.01
Ni 0.0000 0.0000 0.3568 x6  6 O 1.90-1.97
P 0.0495 0.3775 0.4198 x18  4 O 1.52-1.56
O 0.0130 0.1925 0.6937 x18  1 P 1.54
O 0.0284 0.1861 0.4173 x18  1 P 1.54
O 0.1565 0.4586 0.4793 x18  1 P 1.52
O 0.1691 0.4753 0.7532 x18  1 P 1.56

Summary:
E_form (uncorrected)   -4507.6 kJ/mol of formula units

***

Material: LiAgCl
Method: DFT, meta-GGA SCAN
State: PBEsol geometry

abc: 3.0950 3.0950 11.5441
angles: 90.00 90.00 90.00
Last column: nearest neighbours and their distance in Å.
Space group I4mm (No. 107)
Symmetry-distinct sites (fractional):
Li 0.0000 0.0000 0.0000 x2  4 Cl 2.35
Ag 0.0000 0.0000 0.6987 x2  4 Ag 3.10, 5 Cl 3.16-3.41, 4 Li 3.17
Cl 0.0000 0.0000 0.4248 x2  4 Li 2.35

Summary:
E_form (uncorrected)   -215.8 kJ/mol of formula units

***

Material: LuAu
Method: DFT, meta-GGA SCAN
State: PBEsol geometry

abc: 3.4675 3.4675 3.4675
angles: 90.00 90.00 90.00
Last column: nearest neighbours and their distance in Å.
Space group Pm-3m (No. 221)
Symmetry-distinct sites (fractional):
Lu 0.0000 0.0000 0.0000 x1  8 Au 3.00
Au 0.5000 0.5000 0.5000 x1  8 Lu 3.00

Summary:
Energy of formation from the pure elements   -1151 meV per atom

***

Material: CaCdF3
Method: DFT, meta-GGA SCAN
State: PBEsol geometry

abc: 4.4478 4.4478 4.4478
angles: 90.00 90.00 90.00
Last column: nearest neighbours and their distance in Å.
Space group Pm-3m (No. 221)
Symmetry-distinct sites (fractional):
Ca 0.0000 0.0000 0.0000 x1  12 F 3.15
Cd 0.5000 0.5000 0.5000 x1  6 F 2.22
F 0.0000 0.5000 0.5000 x3  2 Cd 2.22

Summary:
E_form (uncorrected)   -1121.4 kJ/mol of formula units

***

Material: Ti7S12
Method: DFT, meta-GGA SCAN
State: PBEsol geometry

abc: 6.7078 8.8599 11.5628
angles: 80.55 89.88 79.02
Last column: nearest neighbours and their distance in Å.
Space group P-1 (No. 2)
Symmetry-distinct sites (fractional):
Ti 0.0000 0.0000 0.0000 x1  6 S 2.40-2.43
Ti 0.0800 0.6651 0.5010 x2  6 S 2.38-2.48
Ti 0.1698 0.3231 0.9984 x2  6 S 2.36-2.47
Ti 0.2516 0.0008 0.5037 x2  6 S 2.37-2.45
Ti 0.3194 0.7239 0.7339 x2  6 S 2.32-2.50
Ti 0.3332 0.6697 0.0045 x2  6 S 2.38-2.46
Ti 0.4180 0.3366 0.4965 x2  6 S 2.38-2.47
Ti 0.5000 0.0000 0.0000 x1  6 S 2.40-2.43
S 0.0252 0.8648 0.6298 x2  4 Ti 2.34-2.47
S 0.0615 0.7512 0.1270 x2  3 Ti 2.38-2.40
S 0.1063 0.5834 0.8750 x2  4 Ti 2.44-2.50
S 0.1310 0.4746 0.3729 x2  3 Ti 2.39-2.41
S 0.1999 0.1961 0.6243 x2  3 Ti 2.37-2.44
S 0.2296 0.0814 0.1257 x2  3 Ti 2.36-2.40
S 0.2713 0.9176 0.8709 x2  4 Ti 2.43-2.50
S 0.2983 0.8032 0.3804 x2  3 Ti 2.39-2.41
S 0.3692 0.5157 0.6315 x2  4 Ti 2.32-2.48
S 0.3969 0.4143 0.1281 x2  4 Ti 2.43-2.48
S 0.4374 0.2497 0.8726 x2  3 Ti 2.37-2.41
S 0.4574 0.1350 0.3696 x2  4 Ti 2.33-2.47

Summary:
E_form (uncorrected)   -2829.2 kJ/mol of formula units

***

Material: HfSbTe2Rh
Method: DFT, meta-GGA SCAN
State: PBEsol geometry

abc: 5.3563 5.3563 5.3909
angles: 90.00 90.00 90.00
Last column: nearest neighbours and their distance in Å.
Space group P4/mmm (No. 123)
Symmetry-distinct sites (fractional):
Hf 0.0000 0.0000 0.0000 x1  4 Te 2.68, 2 Sb 2.70
Sb 0.0000 0.0000 0.5000 x1  2 Hf 2.70
Te 0.0000 0.5000 0.0000 x2  2 Hf 2.68
Rh 0.5000 0.5000 0.5000 x1  4 Sb 3.79, 8 Te 3.80

Summary:
E_form (uncorrected)   362.4 kJ/mol of formula units

***

Material: LaPb3Se
Method: DFT, meta-GGA SCAN
State: PBEsol geometry

abc: 5.5342 5.5342 5.5342
angles: 90.00 90.00 90.00
Last column: nearest neighbours and their distance in Å.
Space group Pm-3m (No. 221)
Symmetry-distinct sites (fractional):
La 0.0000 0.0000 0.0000 x1  12 Pb 3.91
Pb 0.0000 0.5000 0.5000 x3  2 Se 2.77
Se 0.5000 0.5000 0.5000 x1  6 Pb 2.77

Summary:
E_form (uncorrected)   -10.2 kJ/mol of formula units

***

Material: CuAs2Ir
Method: DFT, meta-GGA SCAN
State: PBEsol geometry

abc: 3.1826 3.1826 5.9172
angles: 90.00 90.00 90.00
Last column: nearest neighbours and their distance in Å.
Space group P4/mmm (No. 123)
Symmetry-distinct sites (fractional):
Cu 0.0000 0.0000 0.0000 x1  8 As 2.71, 2 Ir 2.96
As 0.5000 0.5000 0.2554 x2  4 Ir 2.68, 4 Cu 2.71, 1 As 2.90
Ir 0.0000 0.0000 0.5000 x1  8 As 2.68, 2 Cu 2.96

Summary:
Polymorph energy (0 for the lowest one)   0.000 eV per atom
Energy of formation from the pure elements   216 meV per atom

***

| no. | magnetization (Bohr magnetons per cell) |
| --- | --- |
| 1 | 0.10 |
| 2 | 0.00 |
| 3 | 0.00 |
| 4 | 0.33 |
| 5 | 6.00 |
| 6 | 0.00 |
| 7 | 0.00 |
| 8 | 0.00 |
| 9 | 0.00 |
| 10 | 1.83 |
| 11 | 0.00 |
| 12 | 0.00 |